VASP calculation (SCAN) on a PBEsol-optimized structure of Li2ReAs.

a = 3.100 Å, b = 4.705 Å, c = 8.845 Å
α = 90.00°, β = 90.00°, γ = 90.00°
Space group Cmm2 (No. 35)
One atom of each set of equivalent atoms:
Li: 0.000 0.000 0.000 x2
Li: 0.000 0.500 0.296 x2
Re: 0.000 0.500 0.751 x2
As: 0.000 0.000 0.533 x2


VASP calculation (SCAN) on a PBEsol-optimized structure of Li2ReAs.

a = 7.009 Å, b = 7.009 Å, c = 4.740 Å
α = 90.00°, β = 90.00°, γ = 90.00°
Space group I-42d (No. 122)
One atom of each set of equivalent atoms:
Li: 0.230 0.750 0.125 x8
Re: 0.000 0.000 0.500 x4
As: 0.000 0.000 0.000 x4


VASP calculation (SCAN) on a PBEsol-optimized structure of LiReAs.

## Properties
- excess energy over the best structure of this formula in the dataset (meV per atom) = 373

a = 5.762 Å, b = 5.762 Å, c = 5.762 Å
α = 90.00°, β = 90.00°, γ = 90.00°
Space group F-43m (No. 216)
One atom of each set of equivalent atoms:
Li: 0.000 0.000 0.000 x4
Re: 0.250 0.250 0.750 x4
As: 0.000 0.000 0.500 x4


VASP calculation (SCAN) on a PBEsol-optimized structure of LiReAs.

## Properties
- excess energy over the best structure of this formula in the dataset (meV per atom) = 0

a = 5.694 Å, b = 5.694 Å, c = 5.694 Å
α = 90.00°, β = 90.00°, γ = 90.00°
Space group F-43m (No. 216)
One atom of each set of equivalent atoms:
Li: 0.000 0.000 0.000 x4
Re: 0.000 0.000 0.500 x4
As: 0.250 0.250 0.750 x4


VASP calculation (SCAN) on a PBEsol-optimized structure of LiRe2As.

a = 2.850 Å, b = 4.192 Å, c = 10.006 Å
α = 90.00°, β = 90.00°, γ = 90.00°
Space group Immm (No. 71)
One atom of each set of equivalent atoms:
Li: 0.000 0.000 0.000 x2
Re: 0.000 0.500 0.205 x4
As: 0.000 0.000 0.500 x2


VASP calculation (SCAN) on a PBEsol-optimized structure of LiAs3Rh.

a = 4.357 Å, b = 4.357 Å, c = 4.357 Å
α = 90.00°, β = 90.00°, γ = 90.00°
Space group Pm-3m (No. 221)
One atom of each set of equivalent atoms:
Li: 0.000 0.000 0.000 x1
As: 0.000 0.000 0.500 x3
Rh: 0.500 0.500 0.500 x1


VASP calculation (SCAN) on a PBEsol-optimized structure of Li2AsRh.

a = 8.547 Å, b = 3.041 Å, c = 4.462 Å
α = 90.00°, β = 109.24°, γ = 90.00°
Space group Cm (No. 8)
One atom of each set of equivalent atoms:
Li: 0.000 0.000 0.000 x2
Li: 0.241 0.000 0.836 x2
As: 0.493 0.000 0.468 x2
Rh: 0.263 0.500 0.365 x2


VASP calculation (SCAN) on a PBEsol-optimized structure of LiAsRh2.

a = 4.065 Å, b = 4.065 Å, c = 3.074 Å
α = 90.00°, β = 90.00°, γ = 90.00°
Space group P4/mmm (No. 123)
One atom of each set of equivalent atoms:
Li: 0.000 0.000 0.000 x1
As: 0.500 0.500 0.000 x1
Rh: 0.000 0.500 0.500 x2


Number 1: VASP energy -1.7494 Ry/atom, formation energy 215 meV per atom. Number 2: VASP energy -1.7351 Ry/atom, formation energy 410 meV per atom. Number 3: VASP energy -2.2576 Ry/atom, formation energy 509 meV per atom. Number 4: VASP energy -2.2851 Ry/atom, formation energy 136 meV per atom. Number 5: VASP energy -3.0136 Ry/atom, formation energy 192 meV per atom. Number 6: VASP energy -1.3731 Ry/atom, formation energy 665 meV per atom. Number 7: VASP energy -1.1226 Ry/atom, formation energy -589 meV per atom. Number 8: VASP energy -1.6960 Ry/atom, formation energy -544 meV per atom.